# LiNiOF2

A geometry-optimized LiNiOF2 structure (PBE with a Hubbard U, the Alexandria database).

Values from the calculation:
VASP energy: -0.335 Ry/atom
SG: P2_1/c
density of states at the Fermi level: 0.00 states/eV/atom

Unit cell a=4.9408 b=4.9964 c=9.3629 alpha=59.84 beta=90.00 gamma=90.00
Sites, in units of the cell vectors:
F1 0.1415 0.7286 0.4166
Ni1 0.5000 0.5000 0.5000
Li1 0.0345 0.2758 0.7577
Li2 0.4655 0.2758 0.2577
Ni2 0.0000 0.5000 0.0000
O1 0.8980 0.9380 0.9628
F2 0.5820 0.6450 0.2546
F3 0.3585 0.7286 0.9166
O2 0.3980 0.0620 0.5372
F4 0.8585 0.2714 0.5834
Li3 0.5345 0.7242 0.7423
F5 0.4180 0.3550 0.7454
F6 0.0820 0.3550 0.2454
Li4 0.9655 0.7242 0.2423
F7 0.9180 0.6450 0.7546
O3 0.6020 0.9380 0.4628
Ni3 0.5000 0.0000 0.0000
Ni4 0.0000 0.0000 0.5000
F8 0.6415 0.2714 0.0834
O4 0.1020 0.0620 0.0372